1.
Compound: In3IF
Source: the Alexandria database
Functional: PBE
Structure: relaxed

Cell lengths 6.4747, 6.4747, 6.4747 Å; angles 90.00, 90.00, 90.00 degrees
With the nearest neighbours (Å) after each atom.
Sites, in units of the cell vectors:
1 I 0.0000 0.0000 0.0000  6 In 3.24
2 In 0.0000 0.5000 0.0000  2 I 3.24
3 In 0.0000 0.0000 0.5000  2 I 3.24
4 F 0.5000 0.5000 0.5000  12 In 4.58
5 In 0.5000 0.0000 0.0000  2 I 3.24

Results
magnetic moment: 0.0 μB per cell
energy above the most stable polymorph in this dataset: 659 meV per atom
space group: No. 221


2.
Compound: In2IF
Source: the Alexandria database
Functional: PBE
Structure: relaxed

Cell lengths 6.2145, 6.2145, 8.8321 Å; angles 69.40, 69.40, 90.00 degrees
With the nearest neighbours (Å) after each atom.
Sites, in units of the cell vectors:
1 In 0.2513 0.6250 0.2500  2 F 2.58
2 In 0.8750 0.7487 0.7500  2 F 2.58
3 I 0.0000 0.0000 0.0000  4 In 3.40
4 In 0.4987 0.1250 0.2500  2 F 2.58
5 I 0.7500 0.2500 0.5000  4 In 3.40
6 F 0.2500 0.7500 0.5000  4 In 2.58
7 F 0.5000 0.5000 0.0000  4 In 2.58
8 In 0.3750 0.5013 0.7500  2 F 2.58

Results
magnetic moment: 0.0 μB per cell
energy above the most stable polymorph in this dataset: 92 meV per atom
space group: No. 122


3.
Compound: InIF
Source: the Alexandria database
Functional: PBE
Structure: relaxed

Cell lengths 4.6380, 4.2211, 4.2211 Å; angles 120.00, 90.00, 90.00 degrees
With the nearest neighbours (Å) after each atom.
Sites, in units of the cell vectors:
1 I 0.6664 0.6667 0.3333  6 In 3.36-3.37, 6 F 3.36
2 In 0.1674 0.0000 0.0000  3 F 2.44
3 F 0.1662 0.3333 0.6667  3 In 2.44

Results
magnetic moment: 0.0 μB per cell
space group: No. 187


It is found that the electronic total energy values, taken in the order of the records, are -2.295 -3.183 -3.139 eV/atom.
It is found that the uncorrected formation energy values, taken in the order of the records, are 0.032 -0.958 -1.086 eV/atom.